No. 1
A plane-wave DFT calculation with PBE was carried out for Ba10Sr4Ca after structural relaxation.

The total energy comes out at -23.97 eV per formula unit. The space-group type is I4/m (87). As for the crystal system: tetragonal. The calculation puts the formation energy at 265 meV/atom. The total magnetization comes out at 0.00 μB/cell.

CIF file:
```
data_Ba10Sr4Ca
_chemical_formula_sum 'Ba10 Sr4 Ca1'
_cell_length_a 10.826
_cell_length_b 10.826
_cell_length_c 10.826
_cell_angle_alpha 109.30
_cell_angle_beta 109.30
_cell_angle_gamma 109.81
_space_group_name_H-M_alt 'P 1'
_space_group_IT_number 1
_space_group_name_Hall 'P 1'
loop_
_atom_site_label
_atom_site_fract_x
_atom_site_fract_y
_atom_site_fract_z
_atom_site_occupancy
Ba1 0.026 0.969 0.332 1
Ba2 0.031 0.364 0.057 1
Ba3 0.250 0.750 0.500 1
Ba4 0.306 0.974 0.943 1
Ba5 0.364 0.306 0.332 1
Ba6 0.636 0.694 0.668 1
Ba7 0.694 0.026 0.057 1
Ba8 0.750 0.250 0.500 1
Ba9 0.969 0.636 0.943 1
Ba10 0.974 0.031 0.668 1
Sr1 0.252 0.487 0.738 1
Sr2 0.487 0.748 0.235 1
Sr3 0.513 0.252 0.765 1
Sr4 0.748 0.513 0.262 1
Ca1 0.000 0.000 0.000 1
```

No. 2
A plane-wave DFT calculation with PBE was carried out for SmFe4Tc after structural relaxation.

The total energy comes out at -47.73 eV per formula unit. The space-group type is F-43m (216). As for the crystal system: cubic. The calculation puts the formation energy at 201 meV/atom. The total magnetization comes out at 9.03 μB/cell.

CIF file:
```
data_SmFe4Tc
_chemical_formula_sum 'Sm1 Fe4 Tc1'
_cell_length_a 4.981
_cell_length_b 4.981
_cell_length_c 4.981
_cell_angle_alpha 60.00
_cell_angle_beta 60.00
_cell_angle_gamma 60.00
_space_group_name_H-M_alt 'P 1'
_space_group_IT_number 1
_space_group_name_Hall 'P 1'
loop_
_atom_site_label
_atom_site_fract_x
_atom_site_fract_y
_atom_site_fract_z
_atom_site_occupancy
Sm1 0.000 0.000 0.000 1
Fe1 0.377 0.377 0.377 1
Fe2 0.377 0.377 0.870 1
Fe3 0.377 0.870 0.377 1
Fe4 0.870 0.377 0.377 1
Tc1 0.750 0.750 0.750 1
```

No. 3
A plane-wave DFT calculation with PBE was carried out for Ca2MgAl4Zn3 after structural relaxation.

The total energy comes out at -26.56 eV per formula unit. The space-group type is P-4m2 (115). As for the crystal system: tetragonal. The calculation puts the formation energy at -217 meV/atom. The total magnetization comes out at 0.00 μB/cell.

CIF file:
```
data_Ca2MgAl4Zn3
_chemical_formula_sum 'Ca2 Mg1 Al4 Zn3'
_cell_length_a 4.130
_cell_length_b 4.130
_cell_length_c 12.019
_cell_angle_alpha 90.00
_cell_angle_beta 90.00
_cell_angle_gamma 90.00
_space_group_name_H-M_alt 'P 1'
_space_group_IT_number 1
_space_group_name_Hall 'P 1'
loop_
_atom_site_label
_atom_site_fract_x
_atom_site_fract_y
_atom_site_fract_z
_atom_site_occupancy
Ca1 0.000 0.500 0.234 1
Ca2 0.500 0.000 0.766 1
Mg1 0.000 0.000 0.500 1
Al1 0.000 0.000 0.000 1
Al2 0.000 0.500 0.652 1
Al3 0.500 0.000 0.348 1
Al4 0.500 0.500 0.000 1
Zn1 0.000 0.500 0.864 1
Zn2 0.500 0.000 0.136 1
Zn3 0.500 0.500 0.500 1
```

No. 4
A plane-wave DFT calculation with PBE was carried out for SmHo2SbO8 after structural relaxation.

The total energy comes out at -87.30 eV per formula unit. The space-group type is P2/m (10). The calculation puts the energy relative to the elements, uncorrected at -2470 meV/atom. As for the crystal system: monoclinic. The total magnetization comes out at 1.51 μB/cell.

CIF file:
```
data_SmHo2SbO8
_chemical_formula_sum 'Sm1 Ho2 Sb1 O8'
_cell_length_a 4.071
_cell_length_b 7.357
_cell_length_c 5.252
_cell_angle_alpha 90.00
_cell_angle_beta 94.11
_cell_angle_gamma 90.00
_space_group_name_H-M_alt 'P 1'
_space_group_IT_number 1
_space_group_name_Hall 'P 1'
loop_
_atom_site_label
_atom_site_fract_x
_atom_site_fract_y
_atom_site_fract_z
_atom_site_occupancy
Sm1 0.000 0.000 0.000 1
Ho1 0.500 0.253 0.500 1
Ho2 0.500 0.747 0.500 1
Sb1 0.000 0.500 0.000 1
O1 0.046 0.285 0.755 1
O2 0.046 0.715 0.755 1
O3 0.430 0.500 0.217 1
O4 0.496 0.000 0.255 1
O5 0.504 0.000 0.745 1
O6 0.570 0.500 0.783 1
O7 0.954 0.285 0.245 1
O8 0.954 0.715 0.245 1
```

No. 5
A plane-wave DFT calculation with PBE was carried out for Li4ReCl after structural relaxation.

The total energy comes out at -18.31 eV per formula unit. The space-group type is F-43m (216). The calculation puts the energy relative to the elements, uncorrected at 607 meV/atom. As for the crystal system: cubic. The total magnetization comes out at 2.01 μB/cell.

CIF file:
```
data_Li4ReCl
_chemical_formula_sum 'Li4 Re1 Cl1'
_cell_length_a 5.160
_cell_length_b 5.160
_cell_length_c 5.160
_cell_angle_alpha 60.00
_cell_angle_beta 60.00
_cell_angle_gamma 60.00
_space_group_name_H-M_alt 'P 1'
_space_group_IT_number 1
_space_group_name_Hall 'P 1'
loop_
_atom_site_label
_atom_site_fract_x
_atom_site_fract_y
_atom_site_fract_z
_atom_site_occupancy
Li1 0.377 0.377 0.377 1
Li2 0.377 0.377 0.869 1
Li3 0.377 0.869 0.377 1
Li4 0.869 0.377 0.377 1
Re1 0.750 0.750 0.750 1
Cl1 0.000 0.000 0.000 1
```

No. 6
A plane-wave DFT calculation with PBE was carried out for FeRe2Te after structural relaxation.

The total energy comes out at -34.22 eV per formula unit. The space-group type is C2/m (12). The calculation puts the energy relative to the elements, uncorrected at 571 meV/atom. As for the crystal system: monoclinic. The total magnetization comes out at 1.53 μB/cell.

CIF file:
```
data_FeRe2Te
_chemical_formula_sum 'Fe1 Re2 Te1'
_cell_length_a 4.857
_cell_length_b 4.857
_cell_length_c 4.604
_cell_angle_alpha 97.60
_cell_angle_beta 97.60
_cell_angle_gamma 36.36
_space_group_name_H-M_alt 'P 1'
_space_group_IT_number 1
_space_group_name_Hall 'P 1'
loop_
_atom_site_label
_atom_site_fract_x
_atom_site_fract_y
_atom_site_fract_z
_atom_site_occupancy
Fe1 0.000 0.000 0.000 1
Re1 0.274 0.274 0.788 1
Re2 0.726 0.726 0.212 1
Te1 0.500 0.500 0.500 1
```